No. 1
VASP calculation (PBE-GGA) on AcN after structural relaxation.

Values from the calculation:
ΔE_f (raw), eV/f.u.: -2.1

Geometry as CIF:
```
data_AcN
_space_group_name_H-M_alt 'P 1 21/m 1'
_space_group_IT_number 11
_cell_length_a 3.965
_cell_length_b 5.424
_cell_length_c 3.968
_cell_angle_alpha 90.00
_cell_angle_beta 90.53
_cell_angle_gamma 90.00
loop_
_space_group_symop_operation_xyz
'x,y,z'
'-x,-y,-z'
'-x,y+1/2,-z'
'x,-y+1/2,z'
loop_
_atom_site_label
_atom_site_fract_x
_atom_site_fract_y
_atom_site_fract_z
_atom_site_occupancy
Ac1 0.244 0.250 0.252 1
N1 0.182 0.750 0.254 1
```


No. 2
VASP calculation (PBE-GGA) on Ac3N after structural relaxation.

Values from the calculation:
ΔE_f (raw), eV/f.u.: -1.0

Geometry as CIF:
```
data_Ac3N
_space_group_name_H-M_alt 'P m m 2'
_space_group_IT_number 25
_cell_length_a 3.568
_cell_length_b 3.717
_cell_length_c 10.052
_cell_angle_alpha 90.00
_cell_angle_beta 90.00
_cell_angle_gamma 90.00
loop_
_space_group_symop_operation_xyz
'x,y,z'
'-x,-y,z'
'-x,y,z'
'x,-y,z'
loop_
_atom_site_label
_atom_site_fract_x
_atom_site_fract_y
_atom_site_fract_z
_atom_site_occupancy
Ac1 0.000 0.000 0.000 1
Ac2 0.000 0.500 0.302 1
Ac3 0.500 0.500 0.680 1
N1 0.500 0.000 0.209 1
```


No. 3
VASP calculation (PBE-GGA) on NaAc3N after structural relaxation.

Values from the calculation:
ΔE_f (raw), eV/f.u.: -1.7

Geometry as CIF:
```
data_NaAc3N
_space_group_name_H-M_alt 'P 1 21/m 1'
_space_group_IT_number 11
_cell_length_a 3.844
_cell_length_b 10.778
_cell_length_c 8.412
_cell_angle_alpha 90.00
_cell_angle_beta 103.16
_cell_angle_gamma 90.00
loop_
_space_group_symop_operation_xyz
'x,y,z'
'-x,-y,-z'
'-x,y+1/2,-z'
'x,-y+1/2,z'
loop_
_atom_site_label
_atom_site_fract_x
_atom_site_fract_y
_atom_site_fract_z
_atom_site_occupancy
Na1 0.240 0.250 0.478 1
Ac1 0.107 0.547 0.215 1
Ac2 0.459 0.750 0.918 1
N1 0.500 0.000 0.000 1
```


Number 1: energy above the most stable polymorph in this dataset 0.027 eV/atom. Number 2: energy above the most stable polymorph in this dataset 0.020 eV/atom. Number 3: energy above the most stable polymorph in this dataset 0.000 eV/atom.